(1)
A plane-wave DFT calculation with GGA-PBE was carried out for a relaxed NiSn6Pt2 crystal.

Cell lengths 6.1385, 6.1389, 11.9746 Å; angles 90.00, 90.00, 90.00 degrees
Fractional coordinates of all 18 atoms:
Sn  0.3042  0.3042  0.1588
Sn  0.1958  0.8042  0.3412
Sn  0.8042  0.1958  0.6588
Sn  0.2109  0.7891  0.0000
Sn  0.7109  0.7109  0.5000
Sn  0.7891  0.2109  0.0000
Sn  0.2891  0.2891  0.5000
Sn  0.8042  0.1958  0.3412
Sn  0.3042  0.3042  0.8412
Sn  0.6958  0.6958  0.1588
Sn  0.6958  0.6958  0.8412
Sn  0.1958  0.8042  0.6588
Pt  0.0000  0.0000  0.1662
Pt  0.5000  0.5000  0.6662
Pt  0.5000  0.5000  0.3338
Pt  0.0000  0.0000  0.8338
Ni  0.0000  0.0000  0.5000
Ni  0.5000  0.5000  0.0000

The total moment comes out at 0.00 Bohr magnetons per cell. The value obtained for the formation enthalpy at 0 K is -0.263 eV/atom. The space-group type is P4_2/mnm (136).

=====

(2)
A plane-wave DFT calculation with GGA-PBE was carried out for a relaxed Zn5CdPd6 crystal.

Cell lengths 4.1432, 6.9793, 6.5582 Å; angles 90.00, 108.50, 90.00 degrees
Fractional coordinates of all 12 atoms:
Zn  0.6669  0.5000  0.3336
Zn  0.3315  0.0000  0.6631
Zn  0.3331  0.5000  0.6664
Zn  0.0000  0.5000  0.0000
Zn  0.6685  0.0000  0.3369
Cd  0.0000  0.0000  0.0000
Pd  0.8303  0.7420  0.6605
Pd  0.1697  0.2580  0.3395
Pd  0.1697  0.7420  0.3395
Pd  0.5000  0.7339  0.0000
Pd  0.8303  0.2580  0.6605
Pd  0.5000  0.2661  0.0000

The total moment comes out at 0.00 Bohr magnetons per cell. The value obtained for the formation enthalpy at 0 K is -0.520 eV/atom. The space-group type is P2/m (10).

=====

(3)
A plane-wave DFT calculation with GGA-PBE was carried out for a relaxed TcHgCl2 crystal.

Cell lengths 5.0721, 5.0721, 3.5587 Å; angles 90.00, 90.00, 101.03 degrees
Last column: magnetic moment on the atom in μB.
Fractional coordinates of all 4 atoms:
Hg  0.5000  0.0000  0.5000  0.01
Tc  0.0000  0.5000  0.5000  3.68
Cl  0.0000  0.0000  0.0000  0.09
Cl  0.5000  0.5000  0.0000  0.09

The total moment comes out at 4.39 Bohr magnetons per cell. The space-group type is Cmmm (65). As for the offset from the most stable computed form: 680 meV/atom.

=====

(4)
A plane-wave DFT calculation with GGA-PBE was carried out for a relaxed Tb5Pr2Ho5 crystal.

Cell lengths 5.0462, 7.9847, 10.7159 Å; angles 72.65, 76.38, 71.58 degrees
Fractional coordinates of all 12 atoms:
Pr  0.9171  0.4162  0.7497
Pr  0.0829  0.5838  0.2503
Tb  0.0000  0.0000  0.0000
Tb  0.1674  0.1652  0.5001
Tb  0.7518  0.2477  0.2487
Tb  0.2482  0.7523  0.7513
Tb  0.8326  0.8348  0.4999
Ho  0.5844  0.0813  0.7500
Ho  0.5000  0.5000  0.5000
Ho  0.6665  0.6675  0.9994
Ho  0.4156  0.9187  0.2500
Ho  0.3335  0.3325  0.0006

The total moment comes out at 0.00 Bohr magnetons per cell. The value obtained for the formation enthalpy at 0 K is 0.020 eV/atom. The space-group type is C2/m (12).

=====

Q: total moment of number 1 (NiSn6Pt2)?
A: 0.00 Bohr magnetons per cell

=====

Q: What is the total moment in the fourth record?
A: 0.00 Bohr magnetons per cell

=====

Q: Look up the total moment of the third one.
A: 4.39 Bohr magnetons per cell